The following is a PBE calculation of Sc2MoRh after structural relaxation, from the Alexandria database.

a = 3.848 Å, b = 3.848 Å, c = 9.604 Å
α = 90.00°, β = 90.00°, γ = 90.00°
Atoms (fractional coordinates):
Sc1 0.000 0.000 0.000
Sc2 0.000 0.500 0.250
Sc3 0.500 0.000 0.750
Sc4 0.500 0.500 0.500
Mo1 0.000 0.500 0.750
Mo2 0.500 0.000 0.250
Rh1 0.000 0.000 0.500
Rh2 0.500 0.500 0.000

Values from the calculation:
* Fermi-level density of states: 10.44 states/eV per cell
* theoretical density: 6.74 g/cm³
* total energy: -7.89 eV per atom
* DFT formation energy: -174 meV per atom
* total magnetization: 0.0 Bohr magnetons per cell